BaCdMo | the Alexandria database | GGA-PBE | relaxed; crystal system = cubic; raw total energy = -3.060 eV per atom; formation energy from the elements = 144.3 kJ/mol of atoms; offset from the most stable computed form = 0.696 eV/atom
1.0
-4.9603 -0.6909 -2.2801
-0.4559 -0.6839 -5.4411
-1.4285 -4.9043 -2.0465
Ba Cd Mo
1 1 1
direct
0.2500 0.2500 0.2500
0.0000 0.0000 0.0000
0.5000 0.5000 0.5000

=====

ScBi2S5 | the Alexandria database | GGA-PBE | relaxed; crystal system = orthorhombic; raw total energy = -5.008 eV per atom; formation energy without anion corrections = -0.666 eV/atom
1.0
-1.0780 -3.9012 3.5549
6.9355 2.0336 0.2533
-2.8554 8.6618 8.6396
Sc Bi S
2 4 10
direct
0.7955 0.5909 0.7500
0.2045 0.4091 0.2500
0.8564 0.7128 0.4409
0.8564 0.7128 0.0591
0.1436 0.2872 0.5591
0.1436 0.2872 0.9409
0.9477 0.8954 0.8669
0.9477 0.8954 0.6331
0.3115 0.6229 0.4211
0.3115 0.6229 0.0789
0.7449 0.4898 0.2500
0.2551 0.5102 0.7500
0.6885 0.3771 0.5789
0.6885 0.3771 0.9211
0.0523 0.1046 0.1331
0.0523 0.1046 0.3669

=====

MnIrI2N | the Alexandria database | GGA-PBE | relaxed; crystal system = tetragonal; raw total energy = -4.994 eV per atom; formation energy without anion corrections = 0.897 eV/atom; offset from the most stable computed form = 0.321 eV/atom
1.0
5.2739 0.0000 0.0000
0.0000 5.2739 0.0000
0.0000 0.0000 3.4503
I Ir Mn N
2 1 1 1
direct
0.0000 0.5000 0.0000
0.5000 0.0000 0.0000
0.5000 0.5000 0.5000
0.0000 0.0000 0.0000
0.0000 0.0000 0.5000

=====

NdSc2CrN4 | the Alexandria database | GGA-PBE | relaxed; crystal system = orthorhombic; raw total energy = -8.889 eV per atom; formation energy without anion corrections = -1.344 eV/atom
1.0
3.2656 0.0000 0.0000
-1.6328 5.5998 0.0000
0.0000 0.0000 11.0039
Nd Sc Cr N
2 4 2 8
direct
0.0912 0.1825 0.7500
0.9088 0.8175 0.2500
0.3705 0.7411 0.5419
0.6295 0.2589 0.0419
0.6295 0.2589 0.4581
0.3705 0.7411 0.9581
0.8304 0.6609 0.7500
0.1696 0.3391 0.2500
0.2626 0.5252 0.1182
0.7374 0.4748 0.6182
0.7374 0.4748 0.8818
0.2626 0.5252 0.3818
0.0000 0.0000 0.5000
0.0000 0.0000 0.0000
0.4221 0.8442 0.7500
0.5779 0.1558 0.2500

=====

Dy8CdSn2 | the Alexandria database | GGA-PBE | relaxed; crystal system = monoclinic; raw total energy = -4.447 eV per atom; formation energy from the elements = -27.8 kJ/mol of atoms
1.0
-3.5630 3.2524 -1.6458
0.3986 -2.7092 -6.2170
-5.0325 -6.8410 5.2691
Dy Cd Sn
8 1 2
direct
0.4069 0.5226 0.8139
0.6565 0.9961 0.3130
0.7867 0.6811 0.5734
0.9794 0.2303 0.9588
0.2133 0.3189 0.4266
0.3435 0.0039 0.6870
0.5931 0.4774 0.1861
0.0206 0.7697 0.0412
0.5000 0.0000 0.0000
0.8183 0.2440 0.6366
0.1817 0.7560 0.3634

=====

TiNi | the Alexandria database | GGA-PBE | relaxed; crystal system = orthorhombic; raw total energy = -7.217 eV per atom; formation energy from the elements = -36.6 kJ/mol of atoms
1.0
2.7260 0.0003 -0.0001
-0.0004 4.2596 0.2460
-0.0011 -0.2678 4.6382
Ni Ti
2 2
direct
0.4999 0.0000 0.5672
0.5001 0.5000 0.9328
0.9998 0.5000 0.4659
0.0002 0.0000 0.0341